! YHoIn4Au2 (PBE-GGA, optimized geometry); values from VASP
&SYSTEM
  ibrav = 0, nat = 8, ntyp = 4
/
ATOMIC_SPECIES
In 114.82 In.upf
Au 196.97 Au.upf
Y 88.91 Y.upf
Ho 164.93 Ho.upf
CELL_PARAMETERS angstrom
7.2414 0.0000 0.0000
0.0000 2.3196 5.4477
0.0000 -2.3196 5.4477
ATOMIC_POSITIONS crystal
In 0.7939 0.1292 0.1292
Au 0.5000 0.3013 0.3013
Au 0.0000 0.6979 0.6979
Y 0.5000 0.5829 0.5829
In 0.2931 0.8711 0.8711
In 0.7069 0.8711 0.8711
Ho 0.0000 0.4174 0.4174
In 0.2061 0.1292 0.1292
! Energy: -0.149 Ha/atom
! Magnetic moment: 0.0010 μB per atom
! Space group: Amm2 (38)

=====

! TaAlPb (PBE-GGA, optimized geometry); values from VASP
&SYSTEM
  ibrav = 0, nat = 3, ntyp = 3
/
ATOMIC_SPECIES
Ta 180.95 Ta.upf
Pb 207.20 Pb.upf
Al 26.98 Al.upf
CELL_PARAMETERS angstrom
0.0000 3.3305 3.3305
3.3305 0.0000 3.3305
3.3305 3.3305 0.0000
ATOMIC_POSITIONS crystal
Ta 0.7500 0.7500 0.7500
Pb 0.0000 0.0000 0.0000
Al 0.2500 0.2500 0.2500
! Energy: -0.191 Ha/atom
! Magnetic moment: 0.6474 μB per atom
! Space group: F-43m (216)

=====

! InGeMo4C2 (PBE-GGA, optimized geometry); values from VASP
&SYSTEM
  ibrav = 0, nat = 8, ntyp = 4
/
ATOMIC_SPECIES
Mo 95.94 Mo.upf
Ge 72.64 Ge.upf
In 114.82 In.upf
C 12.01 C.upf
CELL_PARAMETERS angstrom
-2.8390 0.8240 -1.0537
0.2615 -1.9837 2.4178
-0.1527 10.2612 8.4357
ATOMIC_POSITIONS crystal
Mo 0.6667 0.3333 0.1504
Ge 0.0000 0.0000 0.0000
Mo 0.6667 0.3333 0.8496
In 0.6667 0.3333 0.5000
C 0.3333 0.6667 0.2385
Mo 0.0000 0.0000 0.3207
Mo 0.0000 0.0000 0.6793
C 0.3333 0.6667 0.7615
! Energy: -0.319 Ha/atom
! Magnetic moment: 0.0007 μB per atom
! Space group: P-6m2 (187)

=====

! TlPd2Pt (PBE-GGA, optimized geometry); values from VASP
&SYSTEM
  ibrav = 0, nat = 4, ntyp = 3
/
ATOMIC_SPECIES
Pt 195.08 Pt.upf
Pd 106.42 Pd.upf
Tl 204.38 Tl.upf
CELL_PARAMETERS angstrom
-1.4082 -4.1432 -1.3628
-3.2684 -0.3745 -3.1912
1.0559 -1.5141 -4.1951
ATOMIC_POSITIONS crystal
Pt 0.2500 0.2500 0.2500
Pd 0.7500 0.7500 0.7500
Tl 0.5000 0.5000 0.5000
Pd 0.0000 0.0000 0.0000
! Energy: -0.176 Ha/atom
! Magnetic moment: 0.0001 μB per atom
! Space group: F-43m (216)

=====

! Lu3Ga5 (PBE-GGA, optimized geometry); values from VASP
&SYSTEM
  ibrav = 0, nat = 32, ntyp = 2
/
ATOMIC_SPECIES
Ga 69.72 Ga.upf
Lu 174.97 Lu.upf
CELL_PARAMETERS angstrom
-3.1620 -8.3938 -6.7917
8.0565 -4.6738 2.0255
-2.7223 -2.6981 4.6020
ATOMIC_POSITIONS crystal
Ga 0.4941 0.7500 0.6256
Lu 0.6478 0.9906 0.3905
Ga 0.0059 0.2500 0.1256
Lu 0.3522 0.4906 0.6095
Lu 0.1478 0.5094 0.1095
Lu 0.6478 0.5094 0.3905
Ga 0.4090 0.0514 0.1247
Lu 0.4264 0.7500 0.1527
Ga 0.5910 0.9486 0.8753
Lu 0.9264 0.7500 0.3473
Ga 0.7019 0.7500 0.1071
Lu 0.0736 0.2500 0.6527
Ga 0.7486 0.7500 0.6719
Ga 0.2019 0.7500 0.3929
Ga 0.9941 0.7500 0.8744
Ga 0.5059 0.2500 0.3744
Ga 0.7981 0.2500 0.6071
Ga 0.2981 0.2500 0.8929
Ga 0.9090 0.0514 0.3753
Ga 0.2486 0.7500 0.8281
Lu 0.1478 0.9906 0.1095
Lu 0.5736 0.2500 0.8473
Ga 0.0910 0.9486 0.6247
Lu 0.8522 0.0094 0.8905
Ga 0.4090 0.4486 0.1247
Ga 0.0910 0.5514 0.6247
Ga 0.2514 0.2500 0.3281
Ga 0.5910 0.5514 0.8753
Lu 0.8522 0.4906 0.8905
Lu 0.3522 0.0094 0.6095
Ga 0.7514 0.2500 0.1719
Ga 0.9090 0.4486 0.3753
! Energy: -0.154 Ha/atom
! Magnetic moment: 0.0001 μB per atom
! Space group: Pnma (62)

=====

! Sc2Nb4Co3C3 (PBE-GGA, optimized geometry); values from VASP
&SYSTEM
  ibrav = 0, nat = 24, ntyp = 4
/
ATOMIC_SPECIES
C 12.01 C.upf
Co 58.93 Co.upf
Nb 92.91 Nb.upf
Sc 44.96 Sc.upf
CELL_PARAMETERS angstrom
4.6952 -2.7102 0.0000
4.6952 2.7102 0.0000
-3.2539 0.0000 12.9700
ATOMIC_POSITIONS crystal
C 0.8335 0.3333 0.4998
Co 0.5858 0.9024 0.7505
C 0.0000 0.5000 0.0000
C 0.6667 0.1665 0.0002
Nb 0.8591 0.6962 0.5919
Nb 0.6962 0.8591 0.0919
Sc 0.4581 0.6232 0.3810
Sc 0.5419 0.3768 0.6190
Co 0.0753 0.9247 0.7500
Sc 0.3768 0.5419 0.1190
Co 0.4142 0.0976 0.2495
C 0.5000 0.0000 0.5000
C 0.1665 0.6667 0.5002
Co 0.0976 0.4142 0.7495
Nb 0.0237 0.2042 0.0921
Co 0.9247 0.0753 0.2500
Co 0.9024 0.5858 0.2505
Nb 0.7958 0.9763 0.4079
Nb 0.1409 0.3038 0.4081
Sc 0.6232 0.4581 0.8810
Nb 0.3038 0.1409 0.9081
Nb 0.2042 0.0237 0.5921
Nb 0.9763 0.7958 0.9079
C 0.3333 0.8335 0.9998
! Energy: -0.326 Ha/atom
! Magnetic moment: 0.0105 μB per atom
! Space group: C2/c (15)

=====

! Gd2YHo5 (PBE-GGA, optimized geometry); values from VASP
&SYSTEM
  ibrav = 0, nat = 8, ntyp = 3
/
ATOMIC_SPECIES
Y 88.91 Y.upf
Ho 164.93 Ho.upf
Gd 157.25 Gd.upf
CELL_PARAMETERS angstrom
5.6321 0.0000 0.0000
0.0000 3.6173 6.2645
0.0000 -3.6173 6.2645
ATOMIC_POSITIONS crystal
Y 0.0000 0.1661 0.1661
Ho 0.0000 0.6678 0.1662
Ho 0.5000 0.8332 0.3324
Gd 0.0000 0.6665 0.6665
Ho 0.5000 0.8340 0.8340
Ho 0.5000 0.3324 0.8332
Gd 0.5000 0.3337 0.3337
Ho 0.0000 0.1662 0.6678
! ΔH_f (0 K): 0.05 eV per formula unit
! Magnetic moment: 0.0424 μB per atom
! Space group: Amm2 (38)

=====

! LiHfCdAu (PBE-GGA, optimized geometry); values from VASP
&SYSTEM
  ibrav = 0, nat = 4, ntyp = 4
/
ATOMIC_SPECIES
Au 196.97 Au.upf
Cd 112.41 Cd.upf
Li 6.94 Li.upf
Hf 178.49 Hf.upf
CELL_PARAMETERS angstrom
-4.4789 -1.2237 0.1613
-2.1465 -0.4224 4.0985
-3.2124 3.1063 1.2708
ATOMIC_POSITIONS crystal
Au 0.7500 0.7500 0.7500
Cd 0.0000 0.0000 0.0000
Li 0.5000 0.5000 0.5000
Hf 0.2500 0.2500 0.2500
! Energy: -0.150 Ha/atom
! Magnetic moment: 0.0000 μB per atom
! Space group: F-43m (216)

=====

! K2AgC3S3N3 (PBE-GGA, optimized geometry); values from VASP
&SYSTEM
  ibrav = 0, nat = 96, ntyp = 5
/
ATOMIC_SPECIES
K 39.10 K.upf
C 12.01 C.upf
N 14.01 N.upf
Ag 107.87 Ag.upf
S 32.06 S.upf
CELL_PARAMETERS angstrom
9.8481 0.0000 0.0000
0.0000 20.0701 0.0000
-7.0457 0.0000 10.2377
ATOMIC_POSITIONS crystal
K 0.0303 0.4013 0.3900
C 0.4712 0.1277 0.8672
N 0.4856 0.7396 0.9371
K 0.5073 0.8922 0.3770
Ag 0.9833 0.4280 0.9006
C 0.0704 0.2724 0.9136
S 0.4193 0.6597 0.2544
Ag 0.5024 0.5481 0.3787
C 0.0515 0.8876 0.8772
S 0.7284 0.9982 0.8504
N 0.2158 0.6011 0.8775
S 0.7744 0.0138 0.4394
Ag 0.5024 0.9519 0.8787
C 0.4584 0.7822 0.8610
N 0.6510 0.9182 0.6349
S 0.6441 0.9311 0.1311
N 0.7842 0.3989 0.1225
C 0.5416 0.2822 0.6390
N 0.5144 0.2604 0.0629
S 0.8689 0.0548 0.1645
N 0.2158 0.8989 0.3775
N 0.4488 0.6700 0.6383
K 0.2053 0.7355 0.9565
Ag 0.0167 0.9280 0.5994
S 0.3559 0.0689 0.8689
C 0.4584 0.7178 0.3610
S 0.2256 0.9862 0.5606
Ag 0.4976 0.4519 0.6213
S 0.8902 0.6771 0.9675
S 0.5807 0.1597 0.2456
Ag 0.4976 0.0481 0.1213
S 0.2716 0.0018 0.1496
N 0.0443 0.2646 0.3293
N 0.9557 0.7646 0.1707
K 0.9697 0.9013 0.1100
C 0.6835 0.5481 0.2247
K 0.2984 0.2196 0.2891
S 0.1311 0.9452 0.8355
N 0.4856 0.7604 0.4371
C 0.7802 0.4359 0.0463
S 0.8902 0.8229 0.4675
C 0.3165 0.0481 0.2753
C 0.9296 0.7724 0.5864
K 0.7947 0.2355 0.5435
N 0.3490 0.0818 0.3651
K 0.7016 0.7804 0.7109
S 0.1098 0.3229 0.0325
S 0.6441 0.5689 0.6311
K 0.4927 0.3922 0.1230
N 0.9978 0.8461 0.9117
N 0.5144 0.2396 0.5629
C 0.9485 0.3876 0.6228
C 0.5288 0.8723 0.1328
S 0.1098 0.1771 0.5325
N 0.9978 0.6539 0.4117
C 0.9296 0.7276 0.0864
K 0.0303 0.0987 0.8900
N 0.9557 0.7354 0.6707
N 0.0022 0.1539 0.0883
N 0.4488 0.8300 0.1383
N 0.0022 0.3461 0.5883
C 0.5416 0.2178 0.1390
S 0.7744 0.4862 0.9394
N 0.0443 0.2354 0.8293
C 0.2198 0.5641 0.9537
S 0.7284 0.5018 0.3504
S 0.2256 0.5138 0.0606
C 0.5288 0.6277 0.6328
S 0.3559 0.4311 0.3689
N 0.5513 0.1700 0.8617
C 0.6835 0.9519 0.7247
C 0.0704 0.2276 0.4136
K 0.5073 0.6078 0.8770
Ag 0.0167 0.5720 0.0994
Ag 0.9833 0.0720 0.4006
C 0.2198 0.9359 0.4537
K 0.4927 0.1078 0.6230
S 0.5807 0.3403 0.7456
C 0.9485 0.1124 0.1228
K 0.2984 0.2804 0.7891
S 0.8689 0.4452 0.6645
N 0.7842 0.1011 0.6225
S 0.4193 0.8403 0.7544
N 0.5512 0.3300 0.3617
K 0.7947 0.2645 0.0435
S 0.1311 0.5548 0.3355
C 0.3165 0.4519 0.7753
C 0.0515 0.6125 0.3772
K 0.2053 0.7645 0.4565
N 0.6510 0.5818 0.1349
C 0.7802 0.0641 0.5463
N 0.3490 0.4182 0.8651
K 0.9697 0.5987 0.6100
S 0.2716 0.4982 0.6496
K 0.7016 0.7196 0.2109
C 0.4712 0.3723 0.3672
! Energy: -0.223 Ha/atom
! Space group: P2_1/c (14)

=====

! Cu2Ag (PBE-GGA, optimized geometry); values from VASP
&SYSTEM
  ibrav = 0, nat = 9, ntyp = 2
/
ATOMIC_SPECIES
Ag 107.87 Ag.upf
Cu 63.55 Cu.upf
CELL_PARAMETERS angstrom
-3.9947 0.2068 2.4513
-2.6797 -2.0593 3.2539
8.0037 6.2276 4.4697
ATOMIC_POSITIONS crystal
Ag 0.8812 0.8812 0.5467
Cu 0.0983 0.0983 0.4348
Cu 0.9971 0.9971 0.0113
Ag 0.4528 0.4528 0.7885
Cu 0.6657 0.6657 0.6633
Ag 0.7760 0.7760 0.1091
Cu 0.5649 0.5649 0.2309
Cu 0.3324 0.3324 0.3291
Cu 0.2315 0.2315 0.8863
! ΔH_f (0 K): 0.29 eV per formula unit
! Space group: Cm (8)

=====

! SrAcU (PBE-GGA, optimized geometry); values from VASP
&SYSTEM
  ibrav = 0, nat = 3, ntyp = 3
/
ATOMIC_SPECIES
Sr 87.62 Sr.upf
U 238.03 U.upf
Ac 227.00 Ac.upf
CELL_PARAMETERS angstrom
0.5822 -4.9305 3.0933
-3.5657 -1.0585 4.5148
-4.0545 -4.1977 -0.3969
ATOMIC_POSITIONS crystal
Sr 0.7500 0.7500 0.7500
U 0.0000 0.0000 0.0000
Ac 0.2500 0.2500 0.2500
! Energy: -0.156 Ha/atom
! Magnetic moment: 1.5195 μB per atom
! Space group: F-43m (216)

=====

! CdP (PBE-GGA, optimized geometry); values from VASP
&SYSTEM
  ibrav = 0, nat = 8, ntyp = 2
/
ATOMIC_SPECIES
P 30.97 P.upf
Cd 112.41 Cd.upf
CELL_PARAMETERS angstrom
5.4542 0.0000 0.0000
0.0000 3.4098 0.0000
0.0000 0.0000 8.5891
ATOMIC_POSITIONS crystal
P 0.7500 0.0000 0.8101
P 0.2500 0.0000 0.1899
Cd 0.5000 0.5000 0.5000
Cd 0.2500 0.0000 0.7466
Cd 0.0000 0.5000 0.5000
P 0.7500 0.5000 0.9842
Cd 0.7500 0.0000 0.2534
P 0.2500 0.5000 0.0158
! Energy: -0.111 Ha/atom
! Space group: Pmma (51)

=====

! Li4Si2AgPt (PBE-GGA, optimized geometry); values from VASP
&SYSTEM
  ibrav = 0, nat = 8, ntyp = 4
/
ATOMIC_SPECIES
Li 6.94 Li.upf
Si 28.09 Si.upf
Pt 195.08 Pt.upf
Ag 107.87 Ag.upf
CELL_PARAMETERS angstrom
-2.2983 -3.4353 0.9345
3.0704 -1.3496 2.5899
-2.5447 2.9398 4.5486
ATOMIC_POSITIONS crystal
Li 0.5000 0.0000 0.7480
Si 0.5000 0.0000 0.2736
Li 0.0000 0.5000 0.2520
Li 0.0000 0.0000 0.5000
Li 0.5000 0.5000 0.0000
Si 0.0000 0.5000 0.7264
Pt 0.5000 0.5000 0.5000
Ag 0.0000 0.0000 0.0000
! Energy: -0.143 Ha/atom
! Magnetic moment: 0.0000 μB per atom
! Space group: P-4m2 (115)

=====

! CsTaB (PBE-GGA, optimized geometry); values from VASP
&SYSTEM
  ibrav = 0, nat = 3, ntyp = 3
/
ATOMIC_SPECIES
Ta 180.95 Ta.upf
Cs 132.91 Cs.upf
B 10.81 B.upf
CELL_PARAMETERS angstrom
1.8053 -4.1215 0.6157
-0.1372 -1.9499 4.0993
-2.7022 -3.5777 0.7235
ATOMIC_POSITIONS crystal
Ta 0.7500 0.7500 0.7500
Cs 0.0000 0.0000 0.0000
B 0.2500 0.2500 0.2500
! Energy: -0.113 Ha/atom
! Magnetic moment: 0.2339 μB per atom
! Space group: F-43m (216)

=====

! LuGaPd (PBE-GGA, optimized geometry); values from VASP
&SYSTEM
  ibrav = 0, nat = 12, ntyp = 3
/
ATOMIC_SPECIES
Lu 174.97 Lu.upf
Ga 69.72 Ga.upf
Pd 106.42 Pd.upf
CELL_PARAMETERS angstrom
6.7860 0.0000 0.0000
0.0000 4.3241 0.0000
0.0000 0.0000 7.7819
ATOMIC_POSITIONS crystal
Lu 0.4682 0.2500 0.6819
Lu 0.5318 0.7500 0.3181
Lu 0.9682 0.2500 0.8181
Ga 0.1424 0.7500 0.5542
Pd 0.7460 0.2500 0.1288
Ga 0.3576 0.2500 0.0542
Pd 0.2460 0.2500 0.3712
Lu 0.0318 0.7500 0.1819
Pd 0.7540 0.7500 0.6288
Ga 0.8576 0.2500 0.4458
Pd 0.2540 0.7500 0.8712
Ga 0.6424 0.7500 0.9458
! Energy: -0.188 Ha/atom
! Magnetic moment: 0.0010 μB per atom
! Space group: Pnma (62)

=====

! BaCdNiS3 (PBE-GGA, optimized geometry); values from VASP
&SYSTEM
  ibrav = 0, nat = 12, ntyp = 4
/
ATOMIC_SPECIES
S 32.06 S.upf
Cd 112.41 Cd.upf
Ba 137.33 Ba.upf
Ni 58.69 Ni.upf
CELL_PARAMETERS angstrom
2.0171 -6.8928 0.0000
2.0171 6.8928 0.0000
0.0000 0.0000 9.6285
ATOMIC_POSITIONS crystal
S 0.1222 0.8778 0.5378
Cd 0.0197 0.9803 0.7500
Ba 0.2602 0.7399 0.2500
Ni 0.5000 0.5000 0.5000
S 0.1222 0.8778 0.9622
S 0.4162 0.5838 0.7500
S 0.5838 0.4162 0.2500
S 0.8778 0.1222 0.4622
Ba 0.7399 0.2602 0.7500
Cd 0.9803 0.0197 0.2500
S 0.8778 0.1222 0.0378
Ni 0.5000 0.5000 0.0000
! Energy: -0.154 Ha/atom
! Magnetic moment: 0.3328 μB per atom
! Space group: Cmcm (63)

=====

! BeHgSb2 (PBE-GGA, optimized geometry); values from VASP
&SYSTEM
  ibrav = 0, nat = 4, ntyp = 3
/
ATOMIC_SPECIES
Be 9.01 Be.upf
Sb 121.76 Sb.upf
Hg 200.59 Hg.upf
CELL_PARAMETERS angstrom
0.7879 -4.9650 -0.8577
-3.7572 -2.8905 -1.8804
0.2779 -1.7488 -4.7824
ATOMIC_POSITIONS crystal
Be 0.7500 0.7500 0.7500
Sb 0.2500 0.2500 0.2500
Hg 0.5000 0.5000 0.5000
Sb 0.0000 0.0000 0.0000
! Energy: -0.090 Ha/atom
! Space group: F-43m (216)

=====

! HfInAu3S4 (PBE-GGA, optimized geometry); values from VASP
&SYSTEM
  ibrav = 0, nat = 18, ntyp = 4
/
ATOMIC_SPECIES
S 32.06 S.upf
Au 196.97 Au.upf
In 114.82 In.upf
Hf 178.49 Hf.upf
CELL_PARAMETERS angstrom
-5.8294 0.0014 -0.4413
-0.0685 -7.7287 0.8809
1.7328 1.1382 10.1215
ATOMIC_POSITIONS crystal
S 0.2983 0.9933 0.2523
S 0.0192 0.7500 0.4913
Au 0.6508 0.0619 0.4143
S 0.7017 0.0067 0.7477
S 0.1821 0.7500 0.9336
Au 0.3492 0.9381 0.5857
In 0.8765 0.7500 0.1163
S 0.7017 0.4933 0.7477
Hf 0.0769 0.2500 0.2839
S 0.9808 0.2500 0.5087
Au 0.4706 0.2500 0.1463
Au 0.3492 0.5619 0.5857
Au 0.6508 0.4381 0.4143
Au 0.5294 0.7500 0.8537
S 0.8179 0.2500 0.0664
In 0.1235 0.2500 0.8837
Hf 0.9231 0.7500 0.7161
S 0.2983 0.5067 0.2523
! Energy: -0.175 Ha/atom
! Magnetic moment: 0.0003 μB per atom
! Space group: P2_1/m (11)